The following is a DFT calculation (PBE) of an optimized crystal structure of SiTcSO2.

Values from the calculation:
Space-group type   P4/mmm, No. 123
Uncorrected energy   -6.582 eV per atom
Energy relative to the elements, uncorrected   -615.4 meV/atom
Crystal system   tetragonal

a b c (Å): 3.6930 5.4480 3.6930
angles (deg): 90.00 90.00 90.00
Fractional coordinates of all 5 atoms:
Tc: 0.0000 0.0000 0.0000
O: 0.0000 0.0000 0.5000
Si: 0.0000 0.5000 0.0000
S: 0.5000 0.5000 0.5000
O: 0.5000 0.0000 0.0000